Computed, not measured: Sb2BrCl after structural relaxation at the PBEsol level of DFT.

Cell lengths 5.920, 5.920, 3.446 Å; angles 106.73, 106.73, 110.76 degrees
Positions (direct):
Sb 0.000 0.500 0.000
Sb 0.500 0.000 0.000
Br 0.000 0.000 0.500
Cl 0.500 0.500 0.500

Calculated values
raw formation energy = -124 meV per atom